Entry 1:
Compound: SrNi2Pt
Source: the Alexandria database
Functional: PBE
Structure: optimized geometry

The value obtained for the electronic total energy is -0.3363 Ry/atom. As for the formation energy: 245.6 meV/atom.

The structure belongs to space group F-43m (No. 216); the cell edges are 6.530, 6.530 and 6.530 Å and the angles 90.00°, 90.00° and 90.00°. The inequivalent atoms are Sr at (0.000, 0.000, 0.000), Ni at (0.000, 0.000, 0.500), Ni at (0.250, 0.250, 0.250) and Pt at (0.250, 0.250, 0.750).

Entry 2:
Compound: SrNiPt3
Source: the Alexandria database
Functional: PBE
Structure: optimized geometry

The value obtained for the distance to the lowest polymorph of the same formula is 1.863 eV/atom. The value obtained for the electronic total energy is -0.2347 Ry/atom. As for the formation energy: 1923.5 meV/atom.

The structure belongs to space group Pm-3m (No. 221); the cell edges are 5.185, 5.185 and 5.185 Å and the angles 90.00°, 90.00° and 90.00°. The inequivalent atoms are Sr at (0.000, 0.000, 0.000), Ni at (0.500, 0.500, 0.500) and Pt at (0.000, 0.000, 0.500).

Entry 3:
Compound: SrNiPt
Source: the Alexandria database
Functional: PBE
Structure: optimized geometry

The value obtained for the electronic total energy is -0.3447 Ry/atom. As for the formation energy: -189.2 meV/atom.

The structure belongs to space group I4mm (No. 107); the cell edges are 3.483, 3.483 and 10.340 Å and the angles 90.00°, 90.00° and 90.00°. The inequivalent atoms are Sr at (0.000, 0.000, 0.000), Ni at (0.000, 0.000, 0.725) and Pt at (0.000, 0.000, 0.288).

Entry 4:
Compound: SrNiPt3
Source: the Alexandria database
Functional: PBE
Structure: optimized geometry

The value obtained for the distance to the lowest polymorph of the same formula is 0.000 eV/atom. The value obtained for the electronic total energy is -0.3716 Ry/atom. As for the formation energy: 60.9 meV/atom.

The structure belongs to space group Pm-3m (No. 221); the cell edges are 4.706, 4.706 and 4.706 Å and the angles 90.00°, 90.00° and 90.00°. The inequivalent atoms are Sr at (0.000, 0.000, 0.000), Ni at (0.500, 0.500, 0.500) and Pt at (0.000, 0.500, 0.500).

Entry 5:
Compound: Sr2NiPt
Source: the Alexandria database
Functional: PBE
Structure: optimized geometry

The value obtained for the electronic total energy is -0.3026 Ry/atom. As for the formation energy: -320.0 meV/atom.

The structure belongs to space group Imm2 (No. 44); the cell edges are 4.298, 4.329 and 14.073 Å and the angles 90.00°, 90.00° and 90.00°. The inequivalent atoms are Sr at (0.000, 0.000, 0.000), Sr at (0.000, 0.500, 0.235), Ni at (0.000, 0.500, 0.653) and Pt at (0.000, 0.000, 0.582).

Entry 6:
Compound: SrNiPt
Source: the Alexandria database
Functional: PBE
Structure: optimized geometry

The value obtained for the electronic total energy is -0.2861 Ry/atom. As for the formation energy: 608.9 meV/atom.

The structure belongs to space group F-43m (No. 216); the cell edges are 6.638, 6.638 and 6.638 Å and the angles 90.00°, 90.00° and 90.00°. The inequivalent atoms are Sr at (0.000, 0.000, 0.000), Ni at (0.250, 0.250, 0.750) and Pt at (0.250, 0.250, 0.250).

Which value of electronic total energy does entry 4 give?
-0.3716 Ry/atom

What is the electronic total energy in the sixth record?
-0.2861 Ry/atom

electronic total energy of number 2 (SrNiPt3)?
-0.2347 Ry/atom